Computed, not measured: a relaxed RuPt2W crystal at the GGA-PBEsol level of DFT.

Output
- Space group: No. 123
- E_form: -0.147 eV per atom
- Uncorrected energy: -9.623 eV/atom
- Offset from the most stable computed form: 18 kJ/mol of formula units
- Total moment: 0.0 μB/f.u.

Cell: 3.8191 3.8191 3.9979 Å, 90.00 90.00 90.00°
With the nearest neighbours (Å) after each atom.
Positions (direct):
Pt: 0.0000 0.5000 0.0000  4 Pt 2.70, 4 W 2.76, 4 Ru 2.76
Pt: 0.5000 0.0000 0.0000  4 Pt 2.70, 4 W 2.76, 4 Ru 2.76
Ru: 0.5000 0.5000 0.5000  4 W 2.70, 8 Pt 2.76
W: 0.0000 0.0000 0.5000  4 Ru 2.70, 8 Pt 2.76


Computed, not measured: a relaxed CoHg2Se crystal at the GGA-PBEsol level of DFT.

Output
- Space group: No. 123
- Uncorrected energy: -2.690 eV/atom
- Total moment: 1.2 μB/f.u.
- ΔE_f (raw): 0.490 eV per atom

Cell: 4.0711 4.0711 4.3948 Å, 90.00 90.00 90.00°
With the nearest neighbours (Å) after each atom.
Positions (direct):
Se: 0.5000 0.5000 0.5000  4 Co 2.88, 8 Hg 3.00
Hg: 0.5000 0.0000 0.0000  4 Hg 2.88, 4 Se 3.00, 4 Co 3.00
Hg: 0.0000 0.5000 0.0000  4 Hg 2.88, 4 Se 3.00, 4 Co 3.00
Co: 0.0000 0.0000 0.5000  4 Se 2.88, 8 Hg 3.00


Computed, not measured: a relaxed Te2As crystal at the GGA-PBEsol level of DFT.

Output
- Space group: No. 194
- Uncorrected energy: -3.718 eV/atom
- Offset from the most stable computed form: 88 kJ/mol of formula units
- Total moment: 0.0 μB/f.u.
- ΔE_f (raw): 0.334 eV per atom

Cell: 5.0112 5.0112 6.7394 Å, 90.00 90.00 120.00°
With the nearest neighbours (Å) after each atom.
Positions (direct):
Te: 0.6667 0.3333 0.2500  3 As 2.89
Te: 0.0000 0.0000 0.5000  8 Te 3.35-3.37, 6 As 3.35
Te: 0.3333 0.6667 0.7500  3 As 2.89
Te: 0.0000 0.0000 0.0000  6 As 3.35, 8 Te 3.35-3.37
As: 0.3333 0.6667 0.2500  3 Te 2.89
As: 0.6667 0.3333 0.7500  3 Te 2.89